# 1
VASP calculation (GGA-PBE) on DyZnCu2 after structural relaxation.

Cell: 7.3800 6.7932 5.4784 Å, 90.00 90.00 90.00°
With the nearest neighbours (Å) after each atom.
Fractional coordinates of all 16 atoms:
1 Dy 0.0395 0.2500 0.1487  8 Cu 2.90-3.24, 3 Zn 2.98-3.01
2 Dy 0.4605 0.7500 0.6487  8 Cu 2.90-3.24, 3 Zn 2.98-3.01
3 Dy 0.5395 0.2500 0.3513  8 Cu 2.90-3.24, 3 Zn 2.98-3.01
4 Dy 0.9605 0.7500 0.8513  8 Cu 2.90-3.24, 3 Zn 2.98-3.01
5 Zn 0.1183 0.7500 0.3512  6 Cu 2.46-2.56
6 Zn 0.3817 0.2500 0.8512  6 Cu 2.46-2.56
7 Zn 0.6183 0.7500 0.1488  6 Cu 2.46-2.56
8 Zn 0.8817 0.2500 0.6488  6 Cu 2.46-2.56
9 Cu 0.1773 0.0598 0.5858  3 Zn 2.46-2.56, 1 Cu 2.58
10 Cu 0.1773 0.4402 0.5858  3 Zn 2.46-2.56, 1 Cu 2.58
11 Cu 0.3227 0.5598 0.0858  3 Zn 2.46-2.56, 1 Cu 2.58
12 Cu 0.3227 0.9402 0.0858  3 Zn 2.46-2.56, 1 Cu 2.58
13 Cu 0.6773 0.0598 0.9142  3 Zn 2.46-2.56, 1 Cu 2.58
14 Cu 0.6773 0.4402 0.9142  3 Zn 2.46-2.56, 1 Cu 2.58
15 Cu 0.8227 0.5598 0.4142  3 Zn 2.46-2.56, 1 Cu 2.58
16 Cu 0.8227 0.9402 0.4142  3 Zn 2.46-2.56, 1 Cu 2.58

Properties
Its density of states at the Fermi level is 0.4816 states/eV/atom. Its formation energy is -24 kJ per mole of atoms. As for the spin magnetization: 0.0 Bohr magnetons per cell. The value obtained for the density is 8.6 Mg/m³. Its volume is 17.17 A^3/atom.

# 2
VASP calculation (GGA-PBE) on NbRu after structural relaxation.

Cell: 4.0548 4.0548 4.0548 Å, 60.00 60.00 60.00°
With the nearest neighbours (Å) after each atom.
Fractional coordinates of all 2 atoms:
1 Nb 0.0000 0.0000 0.0000  4 Ru 2.48
2 Ru 0.7500 0.7500 0.7500  4 Nb 2.48

Properties
Its density of states at the Fermi level is 1.8330 states/eV/atom. Its formation energy is 115 kJ per mole of atoms. As for the spin magnetization: 0.0 Bohr magnetons per cell. The value obtained for the density is 6.8 Mg/m³. Its volume is 23.57 A^3/atom.